1.
VASP calculation (PBE) on a relaxed structure of Li6AcHg2.

```
9
Lattice="4.323 0.000 0.000 0.000 4.323 0.000 0.000 0.000 11.042" Properties=species:S:1:pos:R:3 pbc="T T T"
Li 0.000 2.162 3.366
Li 2.162 0.000 3.366
Li 0.000 2.162 7.676
Li 2.162 0.000 7.676
Li 2.162 2.162 5.521
Li 0.000 0.000 5.521
Ac 0.000 0.000 0.000
Hg 2.162 2.162 1.664
Hg 2.162 2.162 9.378
```

## Properties
crystal system	tetragonal
excess energy over the best structure of this formula in the dataset	0	meV per atom
ΔH_f (0 K)	-0.209	eV per atom

=====

2.
VASP calculation (PBE) on a relaxed structure of NaNbZn.

```
6
Lattice="-4.386 -0.321 -0.886 1.792 -2.385 3.350 -1.943 7.986 6.724" Properties=species:S:1:pos:R:3 pbc="T T T"
Na -0.753 0.299 3.619
Na -3.784 4.980 5.569
Nb 0.000 0.000 0.000
Nb -0.972 3.993 3.362
Zn -0.486 1.996 1.681
Zn -1.457 5.989 5.043
```

## Properties
crystal system	hexagonal
excess energy over the best structure of this formula in the dataset	1523	meV per atom
ΔH_f (0 K)	1.623	eV per atom

=====

3.
VASP calculation (PBE) on a relaxed structure of CrNiMo4.

```
6
Lattice="1.469 -4.845 -0.911 -0.349 -3.536 3.720 -3.520 -3.737 -0.326" Properties=species:S:1:pos:R:3 pbc="T T T"
Cr 0.000 0.000 0.000
Ni -1.800 -9.089 1.862
Mo -0.169 -6.964 0.477
Mo -2.657 -6.412 0.769
Mo -1.075 -6.312 2.787
Mo -0.901 -4.548 0.932
```

## Properties
crystal system	cubic
ΔH_f (0 K)	0.571	eV per atom

=====

4.
VASP calculation (PBE) on a relaxed structure of Li3Al4Cu2.

```
9
Lattice="-1.836 -3.803 0.411 1.190 -2.603 3.132 -5.550 3.194 4.764" Properties=species:S:1:pos:R:3 pbc="T T T"
Li -2.768 -0.666 3.372
Li 0.000 0.000 0.000
Li -3.428 -2.546 4.935
Al -5.309 -1.464 6.547
Al -3.639 -2.764 1.961
Al -2.557 -0.448 6.346
Al -0.887 -1.748 1.760
Cu -4.595 0.384 4.937
Cu -1.601 -3.596 3.370
```

## Properties
crystal system	trigonal
ΔH_f (0 K)	-0.226	eV per atom

=====

5.
VASP calculation (PBE) on a relaxed structure of BeSi2Hg.

```
4
Lattice="-4.027 -1.561 1.199 3.348 -1.520 2.564 -0.435 2.864 2.266" Properties=species:S:1:pos:R:3 pbc="T T T"
Be -2.231 0.651 1.733
Si 0.000 0.000 0.000
Si -0.340 -1.541 1.882
Hg 1.457 0.672 2.415
```

## Properties
crystal system	orthorhombic
excess energy over the best structure of this formula in the dataset	251	meV per atom
ΔE_f (raw)	0.6858	eV per atom

=====

6.
VASP calculation (PBE) on a relaxed structure of Re2TcRu2.

```
5
Lattice="4.114 0.000 -1.131 0.000 4.149 0.000 -0.849 0.000 4.961" Properties=species:S:1:pos:R:3 pbc="T T T"
Re 0.410 2.075 1.493
Re 2.855 2.075 2.336
Tc 0.000 0.000 0.000
Ru 0.835 0.000 3.039
Ru 2.430 0.000 0.791
```

## Properties
crystal system	orthorhombic
excess energy over the best structure of this formula in the dataset	160	meV per atom
ΔH_f (0 K)	0.426	eV per atom

=====

7.
VASP calculation (PBE) on a relaxed structure of Tb2NdDy12.

```
30
Lattice="6.446 -1.450 0.385 -1.450 6.446 0.385 1.894 1.894 24.741" Properties=species:S:1:pos:R:3 pbc="T T T"
Tb 3.959 0.010 6.972
Tb 0.013 3.962 6.975
Tb 6.880 2.932 18.539
Tb 2.929 6.877 18.536
Nd 3.667 7.615 25.318
Nd -0.725 3.223 0.193
Dy 3.527 3.527 20.049
Dy 6.025 6.025 20.434
Dy 4.538 4.538 23.315
Dy 1.434 5.382 21.595
Dy 0.630 0.636 8.182
Dy 1.508 5.456 3.917
Dy 5.907 1.959 14.623
Dy 3.134 3.128 8.567
Dy 2.040 2.040 22.930
Dy 4.850 4.850 2.581
Dy 2.720 2.710 13.991
Dy 4.931 0.983 10.888
Dy 6.255 6.260 17.330
Dy 1.673 1.682 11.135
Dy 2.352 2.352 2.196
Dy 4.180 4.171 11.520
Dy 5.208 5.218 14.376
Dy 0.865 0.865 5.077
Dy 1.951 5.900 14.642
Dy 3.762 3.757 16.945
Dy 5.382 1.434 21.593
Dy 3.363 3.363 5.462
Dy 0.991 4.939 10.870
Dy 5.456 1.508 3.918
```

## Properties
crystal system	monoclinic
ΔH_f (0 K)	0.110	eV per atom

=====

8.
VASP calculation (PBE) on a relaxed structure of MgNbI3.

```
5
Lattice="-5.451 -1.724 0.460 1.454 -3.437 4.355 -1.033 4.256 3.703" Properties=species:S:1:pos:R:3 pbc="T T T"
I 0.727 -1.718 2.178
I -0.517 2.128 1.852
I -2.725 -0.862 0.230
Nb 0.000 0.000 0.000
Mg -2.515 -0.452 4.259
```

## Properties
crystal system	cubic
excess energy over the best structure of this formula in the dataset	0	meV per atom
ΔE_f (raw)	0.0715	eV per atom

=====

Number 1: ρ 5.39 Mg/m³. Number 2: ρ 3.25 Mg/m³. Number 3: ρ 8.53 Mg/m³. Number 4: ρ 3.41 Mg/m³. Number 5: ρ 6.52 Mg/m³. Number 6: ρ 13.84 Mg/m³. Number 7: ρ 8.30 Mg/m³. Number 8: ρ 4.38 Mg/m³.